DFT (PBE) results for crystalline KSnGe at its relaxed geometry.

```
6
Lattice="6.8497 0.0000 0.0000 0.0000 3.9935 0.0000 -0.1610 0.0000 6.8645" Properties=species:S:1:pos:R:3 pbc="T T T"
K 1.7022 0.9984 0.5456
K 4.9865 2.9951 6.3189
Sn 2.2340 2.9951 4.1607
Sn 4.4547 0.9984 2.7038
Ge -0.0993 0.9984 4.3370
Ge 6.7880 2.9951 2.5275
```

Values from the calculation:
- calculated formation energy (eV/atom) = -0.0856

***

DFT (PBE) results for crystalline AuBrO at its relaxed geometry.

```
3
Lattice="4.0774 0.0000 0.0000 0.0000 4.0774 0.0000 0.0000 0.0000 3.9165" Properties=species:S:1:pos:R:3 pbc="T T T"
Au 0.0000 0.0000 0.0000
Br 2.0387 2.0387 0.0000
O 0.0000 0.0000 1.9583
```

Values from the calculation:
- relative energy among the computed polymorphs (kJ/mol of atoms) = 19.21
- ΔE_f (raw) (meV/atom) = 286

***

DFT (PBE) results for crystalline Mg3Hg at its relaxed geometry.

```
16
Lattice="8.0673 0.0000 0.0000 0.0000 8.5000 0.0000 0.0000 0.0000 5.3398" Properties=species:S:1:pos:R:3 pbc="T T T"
Mg 0.2012 2.1250 0.4311
Mg 1.4131 0.5657 3.1663
Mg 1.4131 3.6843 3.1663
Mg 2.6205 4.8157 0.4964
Mg 2.6205 7.9343 0.4964
Mg 3.8324 6.3750 3.1010
Mg 4.2348 2.1250 2.2388
Mg 5.4467 0.5657 4.8434
Mg 5.4467 3.6843 4.8434
Mg 6.6542 4.8157 2.1735
Mg 6.6542 7.9343 2.1735
Mg 7.8661 6.3750 4.9087
Hg 1.0396 6.3750 2.3332
Hg 2.9941 2.1250 5.0031
Hg 5.0732 6.3750 0.3367
Hg 7.0277 2.1250 3.0066
```

Values from the calculation:
- calculated formation energy (eV/atom) = -0.1350

***

DFT (PBE) results for crystalline CaSi2 at its relaxed geometry.

```
6
Lattice="4.9317 0.0000 0.0000 -2.4658 4.2709 0.0000 0.0000 0.0000 5.8554" Properties=species:S:1:pos:R:3 pbc="T T T"
Ca 0.0000 2.8473 1.4639
Ca 2.4658 1.4236 4.3916
Si 0.0000 0.0000 0.0000
Si 0.0000 0.0000 2.9277
Si 0.0000 2.8473 4.3916
Si 2.4658 1.4236 1.4639
```

Values from the calculation:
- ΔE_f (raw) (meV/atom) = 196

***

DFT (PBE) results for crystalline LaTb2DyTm2 at its relaxed geometry.

```
12
Lattice="6.4690 0.0000 0.0000 0.0000 18.0399 0.0000 0.0000 0.0000 3.3997" Properties=species:S:1:pos:R:3 pbc="T T T"
La 0.0000 0.0000 0.0000
La 3.2345 9.0200 1.6999
Tb 1.3594 3.4523 0.0000
Tb 1.8751 12.4723 1.6999
Tb 4.5939 5.5677 1.6999
Tb 5.1096 14.5877 0.0000
Dy 0.0000 9.0200 0.0000
Dy 3.2345 0.0000 1.6999
Tm 1.3450 6.3788 1.6999
Tm 1.8895 15.3988 0.0000
Tm 4.5795 2.6412 0.0000
Tm 5.1240 11.6611 1.6999
```

Values from the calculation:
- calculated formation energy (eV/atom) = 0.2771

***

DFT (PBE) results for crystalline Y2TlInCo at its relaxed geometry.

```
5
Lattice="5.1357 0.0000 0.0000 0.0000 5.1357 0.0000 0.0000 0.0000 4.9249" Properties=species:S:1:pos:R:3 pbc="T T T"
Y 0.0000 2.5679 0.0000
Y 2.5679 0.0000 0.0000
Tl 0.0000 0.0000 2.4625
In 2.5679 2.5679 2.4625
Co 2.5679 2.5679 0.0000
```

Values from the calculation:
- calculated formation energy (eV/atom) = -0.2055

***

DFT (PBE) results for crystalline TaWBr at its relaxed geometry.

```
3
Lattice="-1.4670 2.2210 4.1471 1.4670 -2.2210 4.1471 1.4670 2.2210 -4.1471" Properties=species:S:1:pos:R:3 pbc="T T T"
Ta 0.0000 0.0000 0.0000
W 0.0000 0.0000 2.8222
Br 0.0000 0.0000 5.5606
```

Values from the calculation:
- relative energy among the computed polymorphs (kJ/mol of atoms) = 36.66
- ΔE_f (raw) (meV/atom) = 955

***

DFT (PBE) results for crystalline PuTh5P6 at its relaxed geometry.

```
12
Lattice="3.5719 -6.1853 0.0000 3.5719 6.1853 0.0000 -2.3848 0.0000 6.7472" Properties=species:S:1:pos:R:3 pbc="T T T"
Pu 0.0000 0.0000 0.0000
Th 2.3795 4.1128 3.3736
Th 3.5719 2.0603 0.0000
Th 2.3795 0.0000 3.3736
Th 3.5719 -2.0603 0.0000
Th 2.3795 -4.1128 3.3736
P 1.1756 2.0379 1.6693
P -0.0312 0.0000 5.0717
P 1.1756 -2.0379 1.6693
P 3.5835 2.0379 5.0780
P 4.7903 0.0000 1.6756
P 3.5835 -2.0379 5.0780
```

Values from the calculation:
- calculated formation energy (eV/atom) = -1.4943

***

E in eV per atom, matching the order above: -3.3248; -3.0173; -1.4064; -4.0866; -4.3451; -5.2333; -7.8716; -8.4852